DFT (PBE with a Hubbard U) results for a geometry-optimized Li4V3Sb5O16 structure.

The structure in POSCAR format:
```
Li4V3Sb5O16
1.0
-6.2172 0.0084 0.0017
2.8677 5.5791 -0.0022
-0.0046 -0.2869 -10.3697
O Sb Li V
16 5 4 3
Direct
0.3582 0.6850 0.8923
0.8704 0.7063 0.8806
0.1580 0.8512 0.3895
0.0063 0.0098 0.1858
0.5005 0.5038 0.6875
0.1399 0.3041 0.3999
0.5253 0.0451 0.1671
0.4936 0.9711 0.6796
0.7123 0.8743 0.3826
0.5049 0.4824 0.1901
0.3012 0.1311 0.9034
0.0515 0.5641 0.6398
0.6744 0.3333 0.3901
0.7856 0.0952 0.9213
0.9716 0.4774 0.1806
0.9699 0.9735 0.6779
0.6675 0.8273 0.7852
0.3102 0.6749 0.4937
0.8390 0.1753 0.2832
0.1725 0.3511 0.7855
0.6317 0.2970 0.0072
0.6878 0.3488 0.5964
0.3361 0.6629 0.1193
0.9988 0.9799 0.0072
0.9934 0.9922 0.4998
0.8270 0.6649 0.2816
0.1714 0.8378 0.7781
0.3414 0.1808 0.2870
```

The calculated density comes out at 4.82 g/cm³. The value obtained for the electronic total energy is -177.1 eV per formula unit. Its space group is P1 (1).